Entry 1:
This record from Alexandria via LeMat-Bulk describes an optimized crystal structure of BaSrTa2Zn. The functional is PBE.

```
5
Lattice="5.2258 0.0000 0.0000 0.0000 5.2258 0.0000 0.0000 0.0000 6.0291" Properties=species:S:1:pos:R:3 pbc="T T T"
Sr 0.0000 0.0000 3.0145
Zn 2.6129 2.6129 3.0145
Ba 0.0000 0.0000 0.0000
Ta 0.0000 2.6129 0.0000
Ta 2.6129 0.0000 0.0000
```

Computed properties:
Energy of formation from the pure elements in eV/f.u.: 11.8

Entry 2:
This record from Alexandria via LeMat-Bulk describes an optimized crystal structure of BaSr2Tb. The functional is PBE.

```
4
Lattice="4.0698 0.0000 0.0000 2.0349 3.5246 0.0000 2.0349 1.1749 13.4449" Properties=species:S:1:pos:R:3 pbc="T T T"
Ba 4.0698 2.3497 6.7179
Sr 2.0349 1.1749 10.3715
Sr 2.0349 1.1749 3.0784
Tb 6.1047 3.5246 13.4446
```

Computed properties:
Excess energy over the best structure of this formula in the dataset in meV/atom: 20
Energy of formation from the pure elements in eV/f.u.: 0.7

Entry 3:
This record from Alexandria via LeMat-Bulk describes an optimized crystal structure of BaSr2Tb. The functional is PBE.

```
4
Lattice="4.3419 0.0000 0.0000 0.0000 4.3419 0.0000 0.0000 0.0000 10.3776" Properties=species:S:1:pos:R:3 pbc="T T T"
Sr 0.0000 0.0000 8.1836
Sr 0.0000 0.0000 2.1940
Tb 2.1709 2.1709 0.0000
Ba 2.1709 2.1709 5.1888
```

Computed properties:
Excess energy over the best structure of this formula in the dataset in meV/atom: 0
Energy of formation from the pure elements in eV/f.u.: 0.6

Entry 4:
This record from Alexandria via LeMat-Bulk describes an optimized crystal structure of BaSr2Tb. The functional is PBE.

```
4
Lattice="-3.4926 1.5250 -0.9909 -3.0208 -0.1982 2.5182 1.7261 13.0510 6.1768" Properties=species:S:1:pos:R:3 pbc="T T T"
Sr 0.7606 9.9273 4.7727
Sr -5.5479 4.4504 2.9314
Tb 0.0000 0.0000 0.0000
Ba -2.3937 7.1888 3.8520
```

Computed properties:
Excess energy over the best structure of this formula in the dataset in meV/atom: 192
Energy of formation from the pure elements in eV/f.u.: 1.4